Below is a relaxed RbMg crystal, with properties calculated at the PBE level.

The structure belongs to space group Fm-3m (No. 225); the cell edges are 7.844, 7.844 and 7.844 Å and the angles 90.00°, 90.00° and 90.00°. Symmetry generates all atoms from Rb at (0.000, 0.000, 0.000) and Mg at (0.000, 0.000, 0.500).

As for the formation energy: 0.45 eV/atom. The total energy comes out at -0.061 Ry per atom.